## P
Here is an optimized crystal structure of Na2Sr5 from Alexandria via LeMat-Bulk. Energies are from GGA-PBE.

Cell lengths 4.308, 4.308, 18.950 Å; angles 96.53, 96.53, 90.00 degrees
Atoms (fractional coordinates):
Sr: 0.158 0.158 0.315
Sr: 0.842 0.842 0.685
Sr: 0.421 0.421 0.843
Sr: 0.579 0.579 0.157
Sr: 0.000 0.000 0.000
Na: 0.275 0.275 0.549
Na: 0.725 0.725 0.451

Spin magnetization in μB/f.u.: 0.00


## Q
Here is an optimized crystal structure of Na2Sr5 from Alexandria via LeMat-Bulk. Energies are from GGA-PBE.

Cell lengths 6.579, 11.419, 10.084 Å; angles 100.78, 109.04, 90.00 degrees
Atoms (fractional coordinates):
Sr: 0.972 0.324 0.445
Sr: 0.615 0.538 0.729
Sr: 0.250 0.750 0.000
Sr: 0.526 0.176 0.555
Sr: 0.385 0.462 0.271
Sr: 0.886 0.962 0.271
Sr: 0.474 0.824 0.445
Sr: 0.028 0.676 0.555
Sr: 0.114 0.038 0.729
Sr: 0.750 0.250 0.000
Na: 0.826 0.608 0.152
Na: 0.326 0.108 0.152
Na: 0.174 0.392 0.848
Na: 0.674 0.892 0.848

Spin magnetization in μB/f.u.: 0.00


Which structure above is the least stable one? Q is the least stable one.